Record 1
DFT (GGA-PBE) results for crystalline ReHgHI2 at its relaxed geometry.

Unit cell a=5.882 b=5.882 c=3.592 alpha=90.00 beta=90.00 gamma=90.00
Sites, in units of the cell vectors:
Re (0.000, 0.000, 0.000)
Hg (0.500, 0.500, 0.000)
H (0.500, 0.500, 0.500)
I (0.000, 0.500, 0.500)
I (0.500, 0.000, 0.500)

## Properties
The total DFT energy (no corrections) comes out at -2.58 eV/atom.

Record 2
DFT (GGA-PBE) results for crystalline HgH2SI at its relaxed geometry.

Unit cell a=3.966 b=3.966 c=8.172 alpha=90.00 beta=90.00 gamma=90.00
Sites, in units of the cell vectors:
Hg (0.000, 0.000, 0.000)
H (0.000, 0.500, 0.500)
H (0.500, 0.000, 0.500)
S (0.500, 0.500, 0.500)
I (0.500, 0.500, 0.000)

## Properties
The total DFT energy (no corrections) comes out at -2.01 eV/atom.

Record 3
DFT (GGA-PBE) results for crystalline HgH2SI2 at its relaxed geometry.

Unit cell a=9.089 b=9.089 c=7.227 alpha=90.00 beta=90.00 gamma=52.28
Sites, in units of the cell vectors:
Hg (0.230, 0.770, 0.500)
Hg (0.770, 0.230, 0.000)
H (0.167, 0.712, 0.004)
H (0.288, 0.833, 0.004)
H (0.712, 0.167, 0.504)
H (0.833, 0.288, 0.504)
S (0.325, 0.675, 0.072)
S (0.675, 0.325, 0.572)
I (0.052, 0.628, 0.541)
I (0.372, 0.948, 0.541)
I (0.628, 0.052, 0.041)
I (0.948, 0.372, 0.041)

## Properties
The total DFT energy (no corrections) comes out at -2.57 eV/atom.

Record 4
DFT (GGA-PBE) results for crystalline HgHSI at its relaxed geometry.

Unit cell a=8.642 b=4.168 c=7.737 alpha=90.00 beta=123.47 gamma=90.00
Sites, in units of the cell vectors:
Hg (0.000, 0.000, 0.000)
Hg (0.500, 0.500, 0.000)
H (0.170, 0.500, 0.351)
H (0.670, 0.000, 0.351)
S (0.488, 0.000, 0.187)
S (0.988, 0.500, 0.187)
I (0.037, 0.000, 0.673)
I (0.537, 0.500, 0.673)

## Properties
The total DFT energy (no corrections) comes out at -2.50 eV/atom.

Record 5
DFT (GGA-PBE) results for crystalline Hg2SbHI at its relaxed geometry.

Unit cell a=5.741 b=5.741 c=4.041 alpha=90.00 beta=90.00 gamma=90.00
Sites, in units of the cell vectors:
Hg (0.000, 0.500, 0.000)
Hg (0.500, 0.000, 0.000)
Sb (0.000, 0.000, 0.000)
H (0.000, 0.000, 0.500)
I (0.500, 0.500, 0.500)

## Properties
The total DFT energy (no corrections) comes out at -1.89 eV/atom. The excess energy over the best structure of this formula in the dataset is 0 meV/atom.

Record 6
DFT (GGA-PBE) results for crystalline HgSb2HI at its relaxed geometry.

Unit cell a=5.624 b=5.624 c=6.321 alpha=90.00 beta=90.00 gamma=90.00
Sites, in units of the cell vectors:
Hg (0.000, 0.000, 0.000)
Sb (0.000, 0.500, 0.000)
Sb (0.500, 0.000, 0.000)
H (0.500, 0.500, 0.500)
I (0.000, 0.000, 0.500)

## Properties
The total DFT energy (no corrections) comes out at -1.66 eV/atom. The excess energy over the best structure of this formula in the dataset is 555 meV/atom.

Record 7
DFT (GGA-PBE) results for crystalline Hg2SbHI at its relaxed geometry.

Unit cell a=5.904 b=5.904 c=3.757 alpha=90.00 beta=90.00 gamma=90.00
Sites, in units of the cell vectors:
Hg (0.000, 0.500, 0.000)
Hg (0.500, 0.000, 0.000)
Sb (0.000, 0.000, 0.500)
H (0.500, 0.500, 0.000)
I (0.500, 0.500, 0.500)

## Properties
The total DFT energy (no corrections) comes out at -1.53 eV/atom. The excess energy over the best structure of this formula in the dataset is 351 meV/atom.

Record 8
DFT (GGA-PBE) results for crystalline HgSb2HI at its relaxed geometry.

Unit cell a=4.587 b=4.587 c=5.907 alpha=90.00 beta=90.00 gamma=90.00
Sites, in units of the cell vectors:
Hg (0.000, 0.000, 0.000)
Sb (0.000, 0.500, 0.500)
Sb (0.500, 0.000, 0.500)
H (0.500, 0.500, 0.500)
I (0.500, 0.500, 0.000)

## Properties
The total DFT energy (no corrections) comes out at -2.21 eV/atom. The excess energy over the best structure of this formula in the dataset is 0 meV/atom.

Record 9
DFT (GGA-PBE) results for crystalline HgH2SeI2 at its relaxed geometry.

Unit cell a=9.117 b=9.117 c=7.105 alpha=90.00 beta=90.00 gamma=55.46
Sites, in units of the cell vectors:
Hg (0.220, 0.780, 0.500)
Hg (0.780, 0.220, 0.000)
H (0.177, 0.691, 0.001)
H (0.309, 0.823, 0.001)
H (0.691, 0.177, 0.501)
H (0.823, 0.309, 0.501)
Se (0.343, 0.657, 0.085)
Se (0.657, 0.343, 0.585)
I (0.043, 0.635, 0.566)
I (0.365, 0.957, 0.566)
I (0.635, 0.043, 0.066)
I (0.957, 0.365, 0.066)

## Properties
The total DFT energy (no corrections) comes out at -2.39 eV/atom.

Record 10
DFT (GGA-PBE) results for crystalline HgHSeI at its relaxed geometry.

Unit cell a=7.941 b=4.568 c=7.180 alpha=90.00 beta=112.06 gamma=90.00
Sites, in units of the cell vectors:
Hg (0.000, 0.000, 0.000)
Hg (0.500, 0.500, 0.000)
H (0.454, 0.000, 0.348)
H (0.954, 0.500, 0.348)
Se (0.376, 0.000, 0.123)
Se (0.876, 0.500, 0.123)
I (0.367, 0.500, 0.588)
I (0.867, 0.000, 0.588)

## Properties
The total DFT energy (no corrections) comes out at -2.28 eV/atom.

Record 11
DFT (GGA-PBE) results for crystalline SnHg2HI at its relaxed geometry.

Unit cell a=5.717 b=5.717 c=4.055 alpha=90.00 beta=90.00 gamma=90.00
Sites, in units of the cell vectors:
Sn (0.000, 0.000, 0.000)
Hg (0.000, 0.500, 0.000)
Hg (0.500, 0.000, 0.000)
H (0.000, 0.000, 0.500)
I (0.500, 0.500, 0.500)

## Properties
The total DFT energy (no corrections) comes out at -1.85 eV/atom.

Record 12
DFT (GGA-PBE) results for crystalline HgTeH2I at its relaxed geometry.

Unit cell a=4.201 b=4.201 c=7.165 alpha=90.00 beta=90.00 gamma=90.00
Sites, in units of the cell vectors:
Hg (0.000, 0.000, 0.000)
Te (0.500, 0.500, 0.500)
H (0.000, 0.500, 0.000)
H (0.500, 0.000, 0.000)
I (0.000, 0.000, 0.500)

## Properties
The total DFT energy (no corrections) comes out at -1.84 eV/atom.

Copy entry 7 word for word.
DFT (GGA-PBE) results for crystalline Hg2SbHI at its relaxed geometry.

Unit cell a=5.904 b=5.904 c=3.757 alpha=90.00 beta=90.00 gamma=90.00
Sites, in units of the cell vectors:
Hg (0.000, 0.500, 0.000)
Hg (0.500, 0.000, 0.000)
Sb (0.000, 0.000, 0.500)
H (0.500, 0.500, 0.000)
I (0.500, 0.500, 0.500)

## Properties
The total DFT energy (no corrections) comes out at -1.53 eV/atom. The excess energy over the best structure of this formula in the dataset is 351 meV/atom.